The following is a DFT calculation (PBE) of a relaxed Ac12YPb6 crystal.

a = 9.966 Å, b = 9.966 Å, c = 9.966 Å
α = 107.86°, β = 107.86°, γ = 107.86°
Positions (direct):
Ac: 0.018 0.877 0.326
Ac: 0.107 0.350 0.432
Ac: 0.123 0.674 0.982
Ac: 0.326 0.018 0.877
Ac: 0.350 0.432 0.107
Ac: 0.432 0.107 0.350
Ac: 0.568 0.893 0.650
Ac: 0.650 0.568 0.893
Ac: 0.674 0.982 0.123
Ac: 0.877 0.326 0.018
Ac: 0.893 0.650 0.568
Ac: 0.982 0.123 0.674
Y: 0.000 0.000 0.000
Pb: 0.215 0.657 0.342
Pb: 0.342 0.215 0.657
Pb: 0.343 0.658 0.785
Pb: 0.657 0.342 0.215
Pb: 0.658 0.785 0.343
Pb: 0.785 0.343 0.658

Summary:
E_form: -158 meV per atom
Total magnetization: 0.00 μB/f.u.